Entry 1:
This record from Alexandria via LeMat-Bulk describes an optimized crystal structure of NbSb2HF. The functional is PBE.

Output
energy = -20.81 eV/f.u.
mass density = 5.5 g/cm3
symmetry = No. 123

Unit cell a=5.1889 b=5.1889 c=4.0189 alpha=90.00 beta=90.00 gamma=90.00
Positions (direct):
Nb (0.0000, 0.0000, 0.0000)
Sb (0.0000, 0.5000, 0.5000)
Sb (0.5000, 0.0000, 0.5000)
H (0.5000, 0.5000, 0.0000)
F (0.0000, 0.0000, 0.5000)

***

Entry 2:
This record from Alexandria via LeMat-Bulk describes an optimized crystal structure of GdEr2Sc. The functional is PBE.

Output
energy relative to the elements = 0.0472 eV per atom
energy = -29.35 eV/f.u.
mass density = 7.6 g/cm3
symmetry = No. 166

Unit cell a=11.4146 b=11.4146 c=11.4146 alpha=17.51 beta=17.51 gamma=17.51
Positions (direct):
Gd (0.0000, 0.0000, 0.0000)
Er (0.2465, 0.2465, 0.2465)
Er (0.7535, 0.7535, 0.7535)
Sc (0.5000, 0.5000, 0.5000)

***

Question: The highest mass density belongs to which entry?
Answer: GdEr2Sc

***

Question: Look up the mass density of the second one.
Answer: 7.6 g/cm3

***

Please write out number 2 again, unchanged.
This record from Alexandria via LeMat-Bulk describes an optimized crystal structure of GdEr2Sc. The functional is PBE.

Output
energy relative to the elements = 0.0472 eV per atom
energy = -29.35 eV/f.u.
mass density = 7.6 g/cm3
symmetry = No. 166

Unit cell a=11.4146 b=11.4146 c=11.4146 alpha=17.51 beta=17.51 gamma=17.51
Positions (direct):
Gd (0.0000, 0.0000, 0.0000)
Er (0.2465, 0.2465, 0.2465)
Er (0.7535, 0.7535, 0.7535)
Sc (0.5000, 0.5000, 0.5000)

***

Question: Which formula does entry 1 have?
Answer: NbSb2HF